#w
Computed, not measured: a relaxed BeBF crystal at the PBE level of DFT.

Results
* Fermi-level density of states: 0.09 states/eV/atom

Unit cell a=3.035 b=3.461 c=5.912 alpha=104.60 beta=90.45 gamma=90.04
Space group P1 (No. 1)
Inequivalent atoms, fractional coordinates:
Be (0.000, 0.000, 0.000) (multiplicity 1)
Be (0.001, 0.526, 0.503) (multiplicity 1)
B (0.235, 0.571, 0.158) (multiplicity 1)
B (0.750, 0.570, 0.156) (multiplicity 1)
F (0.005, 0.890, 0.734) (multiplicity 1)
F (0.502, 0.349, 0.536) (multiplicity 1)

---

#x
Computed, not measured: a relaxed BeBF crystal at the PBE level of DFT.

Unit cell a=2.9978 b=2.9978 c=19.4505 alpha=90.00 beta=90.00 gamma=120.00
Space group R3m (No. 160, hexagonal axes)
Inequivalent atoms, fractional coordinates:
Be (0.0000, 0.0000, 0.0000) (multiplicity 3)
Be (0.0000, 0.0000, 0.1642) (multiplicity 3)
B (0.0000, 0.0000, 0.5464) (multiplicity 3)
B (0.0000, 0.0000, 0.8802) (multiplicity 3)
F (0.0000, 0.0000, 0.0834) (multiplicity 3)
F (0.0000, 0.0000, 0.3333) (multiplicity 3)

---

#y
Computed, not measured: a relaxed BeBF crystal at the PBE level of DFT.

Results
* Fermi-level density of states: 0.01 states/eV/atom

Unit cell a=5.072 b=2.929 c=7.195 alpha=90.00 beta=103.40 gamma=90.00
Space group Cm (No. 8)
Inequivalent atoms, fractional coordinates:
Be (0.000, 0.000, 0.000) (multiplicity 2)
Be (0.012, 0.500, 0.564) (multiplicity 2)
B (0.114, 0.500, 0.843) (multiplicity 2)
B (0.281, 0.000, 0.839) (multiplicity 2)
F (0.067, 0.000, 0.206) (multiplicity 2)
F (0.328, 0.500, 0.494) (multiplicity 2)

---

Name the least stable of them. #w.

---

#w
Computed, not measured: a relaxed BeBF crystal at the PBE level of DFT.

Results
* Fermi-level density of states: 0.14 states/eV/atom

Unit cell a=5.494 b=2.588 c=8.020 alpha=90.00 beta=93.52 gamma=90.00
Space group C2/m (No. 12)
Inequivalent atoms, fractional coordinates:
Be (0.114, 0.000, 0.200) (multiplicity 4)
B (0.149, 0.500, 0.991) (multiplicity 4)
F (0.130, 0.500, 0.321) (multiplicity 4)

---

#x
Computed, not measured: a relaxed BeBF crystal at the PBE level of DFT.

Results
* Fermi-level density of states: 0.13 states/eV/atom

Unit cell a=2.607 b=3.002 c=8.206 alpha=96.40 beta=93.39 gamma=111.51
Space group P-1 (No. 2)
Inequivalent atoms, fractional coordinates:
Be (0.143, 0.388, 0.207) (multiplicity 2)
B (0.146, 0.805, 0.018) (multiplicity 2)
F (0.318, 0.557, 0.682) (multiplicity 2)

---

Name the least stable of them. #w.

---

#w
Computed, not measured: a relaxed BeB2F crystal at the PBE level of DFT.

Results
* Fermi-level density of states: 1.10 states/eV/atom

Unit cell a=5.255 b=5.255 c=5.255 alpha=90.00 beta=90.00 gamma=90.00
Space group Fm-3m (No. 225)
Inequivalent atoms, fractional coordinates:
Be (0.000, 0.000, 0.000) (multiplicity 4)
B (0.250, 0.250, 0.250) (multiplicity 8)
F (0.000, 0.000, 0.500) (multiplicity 4)

---

#x
Computed, not measured: a relaxed BeB2F crystal at the PBE level of DFT.

Results
* Fermi-level density of states: 0.34 states/eV/atom

Unit cell a=4.478 b=4.478 c=8.625 alpha=90.00 beta=90.00 gamma=90.00
Space group I-42d (No. 122)
Inequivalent atoms, fractional coordinates:
Be (0.000, 0.000, 0.000) (multiplicity 4)
B (0.228, 0.250, 0.125) (multiplicity 8)
F (0.000, 0.000, 0.500) (multiplicity 4)

---

Name the least stable of them. #w.

---

#w
Computed, not measured: a relaxed Be3BF crystal at the PBE level of DFT.

Results
* Fermi-level density of states: 0.09 states/eV/atom

Unit cell a=3.480 b=3.480 c=3.480 alpha=90.00 beta=90.00 gamma=90.00
Space group Pm-3m (No. 221)
Inequivalent atoms, fractional coordinates:
Be (0.000, 0.000, 0.500) (multiplicity 3)
B (0.500, 0.500, 0.500) (multiplicity 1)
F (0.000, 0.000, 0.000) (multiplicity 1)

---

#x
Computed, not measured: a relaxed Be3BF crystal at the PBE level of DFT.

Results
* Fermi-level density of states: 0.00 states/eV/atom

Unit cell a=3.642 b=3.642 c=3.642 alpha=90.00 beta=90.00 gamma=90.00
Space group Pm-3m (No. 221)
Inequivalent atoms, fractional coordinates:
Be (0.000, 0.000, 0.500) (multiplicity 3)
B (0.000, 0.000, 0.000) (multiplicity 1)
F (0.500, 0.500, 0.500) (multiplicity 1)

---

Name the least stable of them. #w.

---

#w
Computed, not measured: a relaxed BeBF3 crystal at the PBE level of DFT.

Results
* Fermi-level density of states: 0.22 states/eV/atom

Unit cell a=3.707 b=3.707 c=3.707 alpha=90.00 beta=90.00 gamma=90.00
Space group Pm-3m (No. 221)
Inequivalent atoms, fractional coordinates:
Be (0.000, 0.000, 0.000) (multiplicity 1)
B (0.500, 0.500, 0.500) (multiplicity 1)
F (0.000, 0.500, 0.500) (multiplicity 3)

---

#x
Computed, not measured: a relaxed BeBF3 crystal at the PBE level of DFT.

Results
* Fermi-level density of states: 0.00 states/eV/atom

Unit cell a=3.569 b=3.569 c=3.569 alpha=90.00 beta=90.00 gamma=90.00
Space group Pm-3m (No. 221)
Inequivalent atoms, fractional coordinates:
Be (0.000, 0.000, 0.000) (multiplicity 1)
B (0.500, 0.500, 0.500) (multiplicity 1)
F (0.000, 0.000, 0.500) (multiplicity 3)

---

Name the least stable of them. #w.

---

#w
Computed, not measured: a relaxed Be2BF crystal at the PBE level of DFT.

Results
* Fermi-level density of states: 0.27 states/eV/atom

Unit cell a=4.487 b=4.487 c=7.689 alpha=90.00 beta=90.00 gamma=90.00
Space group I-42d (No. 122)
Inequivalent atoms, fractional coordinates:
Be (0.234, 0.250, 0.125) (multiplicity 8)
B (0.000, 0.000, 0.500) (multiplicity 4)
F (0.000, 0.000, 0.000) (multiplicity 4)

---

#x
Computed, not measured: a relaxed Be2BF crystal at the PBE level of DFT.

Results
* Fermi-level density of states: 0.65 states/eV/atom

Unit cell a=5.219 b=5.219 c=5.219 alpha=90.00 beta=90.00 gamma=90.00
Space group Fm-3m (No. 225)
Inequivalent atoms, fractional coordinates:
Be (0.250, 0.250, 0.250) (multiplicity 8)
B (0.000, 0.000, 0.000) (multiplicity 4)
F (0.000, 0.000, 0.500) (multiplicity 4)

---

Name the least stable of them. #x.